(a)
GaAg3Pd: relaxed, PBE.

Cell: 5.098 5.098 5.098 Å, 90.00 90.00 90.00°
Fractional positions:
1 Ga 0.000 0.000 0.000
2 Ag 0.000 0.500 0.500
3 Ag 0.500 0.000 0.500
4 Ag 0.500 0.500 0.000
5 Pd 0.500 0.500 0.500

Volume: 132.5 Å³ per cell

=====

(b)
GaAg3Pd: relaxed, PBE.

Cell: 4.773 4.773 4.773 Å, 90.00 90.00 90.00°
Fractional positions:
1 Ga 0.000 0.000 0.000
2 Ag 0.000 0.000 0.500
3 Ag 0.000 0.500 0.000
4 Ag 0.500 0.000 0.000
5 Pd 0.500 0.500 0.500

Volume: 108.8 Å³ per cell

=====

(b) is the most stable structure; the next one sits 89 meV per atom above it.

=====

(a)
GaAg2Pd8: relaxed, PBE.

Cell: 6.602 6.602 4.658 Å, 104.67 104.67 105.11°
Fractional positions:
1 Ga 0.000 0.000 0.000
2 Ag 0.488 0.767 0.227
3 Ag 0.767 0.488 0.227
4 Pd 0.046 0.604 0.866
5 Pd 0.145 0.871 0.505
6 Pd 0.175 0.439 0.351
7 Pd 0.313 0.313 0.859
8 Pd 0.439 0.175 0.351
9 Pd 0.604 0.046 0.866
10 Pd 0.628 0.628 0.727
11 Pd 0.871 0.145 0.505

Volume: 178.2 Å³ per cell

=====

(b)
GaAg2Pd8: relaxed, PBE.

Cell: 6.644 6.644 4.860 Å, 104.92 104.92 82.06°
Fractional positions:
1 Ga 0.000 0.000 0.000
2 Ag 0.147 0.147 0.529
3 Ag 0.853 0.853 0.471
4 Pd 0.155 0.675 0.173
5 Pd 0.270 0.270 0.114
6 Pd 0.325 0.845 0.827
7 Pd 0.432 0.432 0.704
8 Pd 0.568 0.568 0.296
9 Pd 0.675 0.155 0.173
10 Pd 0.730 0.730 0.886
11 Pd 0.845 0.325 0.827

Volume: 199.7 Å³ per cell

=====

(a) is the most stable structure; the next one sits 254 meV per atom above it.

=====

(a)
SrGa2AgPd: relaxed, PBE.

Cell: 6.035 6.035 6.035 Å, 135.15 135.15 65.30°
Fractional positions:
1 Sr 0.000 0.000 0.000
2 Ga 0.370 0.370 0.000
3 Ga 0.630 0.630 0.000
4 Ag 0.250 0.750 0.500
5 Pd 0.750 0.250 0.500

Volume: 107.7 Å³ per cell

=====

(b)
SrGa2AgPd: relaxed, PBE.

Cell: 4.809 4.809 5.296 Å, 90.00 90.00 90.00°
Fractional positions:
1 Sr 0.000 0.000 0.000
2 Ga 0.000 0.500 0.500
3 Ga 0.500 0.000 0.500
4 Ag 0.500 0.500 0.000
5 Pd 0.500 0.500 0.500

Volume: 122.5 Å³ per cell

=====

(a) is the most stable structure; the next one sits 199 meV per atom above it.

=====

(a)
Pm2GaAg: relaxed, PBE.

Cell: 3.642 3.642 7.617 Å, 90.00 90.00 90.00°
Fractional positions:
1 Pm 0.000 0.000 0.242
2 Pm 0.000 0.000 0.758
3 Ga 0.500 0.500 0.000
4 Ag 0.500 0.500 0.500

Volume: 101.1 Å³ per cell

=====

(b)
Pm2GaAg: relaxed, PBE.

Cell: 5.246 5.246 5.246 Å, 60.00 60.00 60.00°
Fractional positions:
1 Pm 0.250 0.250 0.250
2 Pm 0.750 0.750 0.750
3 Ga 0.000 0.000 0.000
4 Ag 0.500 0.500 0.500

Volume: 102.1 Å³ per cell

=====

(a) is the most stable structure; the next one sits 6 meV per atom above it.

=====

(a)
Pm2Ga3Ag5: relaxed, PBE.

Cell: 12.680 12.680 7.182 Å, 90.00 90.00 159.04°
Fractional positions:
1 Pm 0.016 0.984 0.500
2 Pm 0.327 0.673 0.487
3 Pm 0.673 0.327 0.987
4 Pm 0.984 0.016 0.000
5 Ga 0.103 0.897 0.813
6 Ga 0.267 0.733 0.953
7 Ga 0.448 0.552 0.697
8 Ga 0.552 0.448 0.197
9 Ga 0.733 0.267 0.453
10 Ga 0.897 0.103 0.313
11 Ag 0.105 0.895 0.198
12 Ag 0.199 0.801 0.654
13 Ag 0.215 0.785 0.266
14 Ag 0.374 0.626 0.982
15 Ag 0.448 0.552 0.299
16 Ag 0.552 0.448 0.799
17 Ag 0.626 0.374 0.482
18 Ag 0.785 0.215 0.766
19 Ag 0.801 0.199 0.154
20 Ag 0.895 0.105 0.698

Volume: 413.0 Å³ per cell

=====

(b)
Pm2Ga3Ag5: relaxed, PBE.

Cell: 8.901 8.901 8.901 Å, 96.81 96.23 140.63°
Fractional positions:
1 Pm 0.236 0.131 0.366
2 Pm 0.264 0.631 0.895
3 Pm 0.736 0.369 0.105
4 Pm 0.764 0.869 0.634
5 Ga 0.134 0.870 0.004
6 Ga 0.250 0.750 0.500
7 Ga 0.366 0.370 0.736
8 Ga 0.634 0.630 0.264
9 Ga 0.750 0.250 0.500
10 Ga 0.866 0.130 0.996
11 Ag 0.151 0.391 0.542
12 Ag 0.250 0.250 0.000
13 Ag 0.250 0.506 0.256
14 Ag 0.250 0.994 0.744
15 Ag 0.349 0.891 0.240
16 Ag 0.651 0.109 0.760
17 Ag 0.750 0.006 0.256
18 Ag 0.750 0.494 0.744
19 Ag 0.750 0.750 0.000
20 Ag 0.849 0.609 0.458

Volume: 421.2 Å³ per cell

=====

(a) is the most stable structure; the next one sits 13 meV per atom above it.

=====

(a)
Pm3GaAg: relaxed, PBE.

Cell: 8.656 8.656 9.169 Å, 92.25 92.25 54.58°
Fractional positions:
1 Pm 0.137 0.261 0.332
2 Pm 0.141 0.774 0.927
3 Pm 0.226 0.859 0.573
4 Pm 0.261 0.137 0.832
5 Pm 0.386 0.392 0.650
6 Pm 0.392 0.386 0.150
7 Pm 0.608 0.614 0.850
8 Pm 0.614 0.608 0.350
9 Pm 0.739 0.863 0.168
10 Pm 0.774 0.141 0.427
11 Pm 0.859 0.226 0.073
12 Pm 0.863 0.739 0.668
13 Ga 0.086 0.637 0.395
14 Ga 0.363 0.914 0.105
15 Ga 0.637 0.086 0.895
16 Ga 0.914 0.363 0.605
17 Ag 0.000 0.500 0.000
18 Ag 0.145 0.855 0.250
19 Ag 0.500 0.000 0.500
20 Ag 0.855 0.145 0.750

Volume: 559.3 Å³ per cell

=====

(b)
Pm3GaAg: relaxed, PBE.

Cell: 10.278 10.278 5.254 Å, 90.00 90.00 150.41°
Fractional positions:
1 Pm 0.063 0.937 0.750
2 Pm 0.248 0.752 0.750
3 Pm 0.432 0.568 0.750
4 Pm 0.568 0.432 0.250
5 Pm 0.752 0.248 0.250
6 Pm 0.937 0.063 0.250
7 Ga 0.155 0.845 0.250
8 Ga 0.845 0.155 0.750
9 Ag 0.343 0.657 0.250
10 Ag 0.657 0.343 0.750

Volume: 274.0 Å³ per cell

=====

(b) is the most stable structure; the next one sits 104 meV per atom above it.